Entry 1:
This record from Alexandria via LeMat-Bulk describes a relaxed structure of Li2Mn5P4O16. The functional is PBE+U.

POSCAR file:
```
Li2Mn5P4O16
1.0
5.311 0.000 0.000
2.135 8.082 0.000
0.419 3.625 7.978
Li Mn P O
2 5 4 16
Direct
0.060 0.405 0.236
0.940 0.595 0.764
0.131 0.113 0.653
0.397 0.738 0.210
0.500 0.500 0.000
0.603 0.262 0.790
0.869 0.887 0.347
0.125 0.200 0.008
0.402 0.717 0.588
0.598 0.283 0.412
0.875 0.800 0.992
0.124 0.012 0.145
0.159 0.678 0.063
0.256 0.305 0.074
0.257 0.709 0.441
0.261 0.886 0.613
0.266 0.176 0.853
0.305 0.297 0.444
0.371 0.546 0.750
0.629 0.454 0.250
0.695 0.703 0.556
0.734 0.824 0.147
0.739 0.114 0.387
0.743 0.291 0.559
0.744 0.695 0.926
0.841 0.322 0.937
0.876 0.988 0.855
```

Results
space group: P-1
DFT total energy: -200.19 eV per formula unit
N(E_F): 0.000 states/eV/atom
M_tot: 25.0 μB per cell

Entry 2:
This record from Alexandria via LeMat-Bulk describes a relaxed structure of LiMn2P2O8. The functional is PBE+U.

POSCAR file:
```
LiMn2P2O8
1.0
5.056 0.000 0.000
0.000 7.385 0.000
-0.920 0.000 9.383
Li Mn P O
2 4 4 16
Direct
0.000 0.224 0.000
0.000 0.776 0.500
0.536 0.287 0.234
0.536 0.713 0.734
0.997 0.287 0.568
0.997 0.713 0.068
0.460 0.481 0.940
0.460 0.519 0.440
0.998 0.033 0.289
0.998 0.967 0.789
0.042 0.056 0.451
0.042 0.944 0.951
0.061 0.167 0.761
0.061 0.833 0.261
0.152 0.179 0.210
0.152 0.821 0.710
0.178 0.485 0.988
0.178 0.515 0.488
0.458 0.455 0.775
0.458 0.545 0.275
0.601 0.326 0.454
0.601 0.674 0.954
0.629 0.339 0.031
0.629 0.661 0.531
0.697 0.058 0.232
0.697 0.942 0.732
```

Results
space group: Pc
DFT total energy: -94.24 eV per formula unit
energy above the most stable polymorph in this dataset: 0.0416 eV per atom
M_tot: 18.0 μB per cell

Entry 3:
This record from Alexandria via LeMat-Bulk describes a relaxed structure of LiMn2P2O8. The functional is PBE+U.

POSCAR file:
```
LiMn2P2O8
1.0
4.741 0.000 0.000
1.527 4.970 0.000
1.996 -0.577 7.148
Li Mn P O
1 2 2 8
Direct
0.000 0.000 0.000
0.668 0.997 0.742
0.730 0.422 0.385
0.060 0.454 0.707
0.419 0.028 0.221
0.025 0.694 0.838
0.095 0.117 0.362
0.389 0.997 0.021
0.409 0.310 0.606
0.600 0.241 0.208
0.610 0.769 0.283
0.872 0.600 0.565
0.923 0.239 0.801
```

Results
space group: P1
DFT total energy: -94.24 eV per formula unit
energy above the most stable polymorph in this dataset: 0.0412 eV per atom
M_tot: 9.0 μB per cell